# 1
The following is a DFT calculation (PBE-GGA) of crystalline CeHfGe at its relaxed geometry.

Properties
Its formation energy from the elements is -0.214 eV per atom. As for the uncorrected energy: -21.15 eV per cell.

a b c (Å): 4.654 4.654 3.868
angles (deg): 90.00 90.00 120.00
Atoms (fractional coordinates):
Ce (0.000, 0.000, 0.000)
Hf (0.333, 0.667, 0.500)
Ge (0.667, 0.333, 0.500)


# 2
The following is a DFT calculation (PBE-GGA) of crystalline CeHfGe2 at its relaxed geometry.

Properties
Its formation energy from the elements is -0.548 eV per atom. As for the excess energy over the best structure of this formula in the dataset: 84 meV per atom. As for the uncorrected energy: -27.31 eV per cell.

a b c (Å): 3.673 3.673 6.193
angles (deg): 90.00 90.00 90.00
Atoms (fractional coordinates):
Ce (0.000, 0.000, 0.000)
Hf (0.000, 0.000, 0.500)
Ge (0.500, 0.500, 0.289)
Ge (0.500, 0.500, 0.711)


# 3
The following is a DFT calculation (PBE-GGA) of crystalline CeHf2Ge at its relaxed geometry.

Properties
Its formation energy from the elements is -0.217 eV per atom. As for the excess energy over the best structure of this formula in the dataset: 0 meV per atom. As for the uncorrected energy: -31.32 eV per cell.

a b c (Å): 4.509 4.509 4.167
angles (deg): 90.00 90.00 90.00
Atoms (fractional coordinates):
Ce (0.000, 0.000, 0.000)
Hf (0.000, 0.500, 0.500)
Hf (0.500, 0.000, 0.500)
Ge (0.500, 0.500, 0.000)


# 4
The following is a DFT calculation (PBE-GGA) of crystalline CeHfGe at its relaxed geometry.

Properties
Its formation energy from the elements is -0.230 eV per atom. As for the uncorrected energy: -42.39 eV per cell.

a b c (Å): 4.494 4.494 7.311
angles (deg): 92.61 92.61 63.90
Atoms (fractional coordinates):
Ce (0.160, 0.160, 0.405)
Ce (0.840, 0.840, 0.595)
Hf (0.171, 0.171, 0.904)
Hf (0.829, 0.829, 0.096)
Ge (0.489, 0.489, 0.202)
Ge (0.511, 0.511, 0.798)


# 5
The following is a DFT calculation (PBE-GGA) of crystalline CeHfGe2 at its relaxed geometry.

Properties
Its formation energy from the elements is -0.632 eV per atom. As for the excess energy over the best structure of this formula in the dataset: 0 meV per atom. As for the uncorrected energy: -27.65 eV per cell.

a b c (Å): 6.994 6.994 6.994
angles (deg): 33.45 33.45 33.45
Atoms (fractional coordinates):
Ce (0.000, 0.000, 0.000)
Hf (0.500, 0.500, 0.500)
Ge (0.242, 0.242, 0.242)
Ge (0.758, 0.758, 0.758)


# 6
The following is a DFT calculation (PBE-GGA) of crystalline Ce2Hf3Ge4 at its relaxed geometry.

Properties
Its formation energy from the elements is -0.772 eV per atom. As for the uncorrected energy: -134.29 eV per cell.

a b c (Å): 7.438 7.423 7.300
angles (deg): 90.00 109.78 90.00
Atoms (fractional coordinates):
Ce (0.186, 0.168, 0.063)
Ce (0.186, 0.332, 0.563)
Ce (0.814, 0.668, 0.437)
Ce (0.814, 0.832, 0.937)
Hf (0.251, 0.669, 0.248)
Hf (0.251, 0.831, 0.748)
Hf (0.500, 0.000, 0.500)
Hf (0.500, 0.500, 0.000)
Hf (0.749, 0.169, 0.252)
Hf (0.749, 0.331, 0.752)
Ge (0.088, 0.539, 0.859)
Ge (0.088, 0.961, 0.359)
Ge (0.493, 0.134, 0.863)
Ge (0.493, 0.366, 0.363)
Ge (0.507, 0.634, 0.637)
Ge (0.507, 0.866, 0.137)
Ge (0.912, 0.039, 0.641)
Ge (0.912, 0.461, 0.141)


# 7
The following is a DFT calculation (PBE-GGA) of crystalline CeHfGe at its relaxed geometry.

Properties
Its formation energy from the elements is -0.178 eV per atom. As for the uncorrected energy: -42.08 eV per cell.

a b c (Å): 4.199 4.199 10.329
angles (deg): 90.00 90.00 120.00
Atoms (fractional coordinates):
Ce (0.000, 0.000, 0.133)
Ce (0.000, 0.000, 0.867)
Hf (0.333, 0.667, 0.407)
Hf (0.667, 0.333, 0.593)
Ge (0.333, 0.667, 0.700)
Ge (0.667, 0.333, 0.300)


# 8
The following is a DFT calculation (PBE-GGA) of crystalline Ce3HfGe6 at its relaxed geometry.

Properties
Its formation energy from the elements is -0.618 eV per atom. As for the uncorrected energy: -123.28 eV per cell.

a b c (Å): 7.657 7.657 7.657
angles (deg): 96.94 96.94 96.94
Atoms (fractional coordinates):
Ce (0.182, 0.750, 0.318)
Ce (0.250, 0.682, 0.818)
Ce (0.318, 0.182, 0.750)
Ce (0.682, 0.818, 0.250)
Ce (0.750, 0.318, 0.182)
Ce (0.818, 0.250, 0.682)
Hf (0.000, 0.000, 0.000)
Hf (0.500, 0.500, 0.500)
Ge (0.011, 0.089, 0.366)
Ge (0.089, 0.366, 0.011)
Ge (0.134, 0.411, 0.489)
Ge (0.366, 0.011, 0.089)
Ge (0.411, 0.489, 0.134)
Ge (0.489, 0.134, 0.411)
Ge (0.511, 0.866, 0.589)
Ge (0.589, 0.511, 0.866)
Ge (0.634, 0.989, 0.911)
Ge (0.866, 0.589, 0.511)
Ge (0.911, 0.634, 0.989)
Ge (0.989, 0.911, 0.634)


# 9
The following is a DFT calculation (PBE-GGA) of crystalline CeHf2Ge at its relaxed geometry.

Properties
Its formation energy from the elements is -0.009 eV per atom. As for the excess energy over the best structure of this formula in the dataset: 207 meV per atom. As for the uncorrected energy: -30.50 eV per cell.

a b c (Å): 8.855 8.855 8.855
angles (deg): 23.06 23.06 23.06
Atoms (fractional coordinates):
Ce (0.000, 0.000, 0.000)
Hf (0.233, 0.233, 0.233)
Hf (0.767, 0.767, 0.767)
Ge (0.500, 0.500, 0.500)


# 10
The following is a DFT calculation (PBE-GGA) of crystalline Ce5HfGe4 at its relaxed geometry.

Properties
Its formation energy from the elements is -0.408 eV per atom. As for the uncorrected energy: -62.17 eV per cell.

a b c (Å): 8.735 8.735 7.308
angles (deg): 107.09 107.09 29.00
Atoms (fractional coordinates):
Ce (0.000, 0.000, 0.000)
Ce (0.308, 0.308, 0.516)
Ce (0.345, 0.345, 0.005)
Ce (0.655, 0.655, 0.995)
Ce (0.692, 0.692, 0.484)
Hf (0.000, 0.000, 0.500)
Ge (0.167, 0.167, 0.733)
Ge (0.481, 0.481, 0.723)
Ge (0.519, 0.519, 0.277)
Ge (0.833, 0.833, 0.267)


# 11
The following is a DFT calculation (PBE-GGA) of crystalline Ce5HfGe5 at its relaxed geometry.

Properties
Its formation energy from the elements is -0.512 eV per atom. As for the uncorrected energy: -68.34 eV per cell.

a b c (Å): 7.194 7.194 8.160
angles (deg): 106.87 106.87 48.00
Atoms (fractional coordinates):
Ce (0.000, 0.000, 0.000)
Ce (0.330, 0.330, 0.167)
Ce (0.338, 0.338, 0.673)
Ce (0.662, 0.662, 0.327)
Ce (0.670, 0.670, 0.833)
Hf (0.000, 0.000, 0.500)
Ge (0.161, 0.161, 0.343)
Ge (0.161, 0.161, 0.821)
Ge (0.500, 0.500, 0.500)
Ge (0.839, 0.839, 0.179)
Ge (0.839, 0.839, 0.657)


# 12
The following is a DFT calculation (PBE-GGA) of crystalline Ce3HfGe5 at its relaxed geometry.

Properties
Its formation energy from the elements is -0.712 eV per atom. As for the uncorrected energy: -114.50 eV per cell.

a b c (Å): 8.762 8.762 5.972
angles (deg): 90.00 90.00 120.00
Atoms (fractional coordinates):
Ce (0.000, 0.385, 0.250)
Ce (0.000, 0.615, 0.750)
Ce (0.385, 0.000, 0.250)
Ce (0.385, 0.385, 0.750)
Ce (0.615, 0.000, 0.750)
Ce (0.615, 0.615, 0.250)
Hf (0.000, 0.000, 0.000)
Hf (0.000, 0.000, 0.500)
Ge (0.000, 0.267, 0.750)
Ge (0.000, 0.733, 0.250)
Ge (0.267, 0.000, 0.750)
Ge (0.267, 0.267, 0.250)
Ge (0.333, 0.667, 0.000)
Ge (0.333, 0.667, 0.500)
Ge (0.667, 0.333, 0.000)
Ge (0.667, 0.333, 0.500)
Ge (0.733, 0.000, 0.250)
Ge (0.733, 0.733, 0.750)


# 13
The following is a DFT calculation (PBE-GGA) of crystalline Ce2HfGeN5 at its relaxed geometry.

Properties
The calculation puts the uncorrected formation energy at -1.160 eV/atom. As for the uncorrected energy: -157.02 eV per cell.

a b c (Å): 7.125 7.125 10.380
angles (deg): 90.00 90.00 153.39
Atoms (fractional coordinates):
Ce (0.122, 0.878, 0.500)
Ce (0.135, 0.865, 0.076)
Ce (0.865, 0.135, 0.576)
Ce (0.878, 0.122, 0.000)
Hf (0.219, 0.781, 0.794)
Hf (0.781, 0.219, 0.294)
Ge (0.495, 0.505, 0.266)
Ge (0.505, 0.495, 0.766)
N (0.056, 0.944, 0.833)
N (0.286, 0.714, 0.439)
N (0.297, 0.703, 0.154)
N (0.370, 0.630, 0.802)
N (0.499, 0.501, 0.583)
N (0.501, 0.499, 0.083)
N (0.630, 0.370, 0.302)
N (0.703, 0.297, 0.654)
N (0.714, 0.286, 0.939)
N (0.944, 0.056, 0.333)


# 14
The following is a DFT calculation (PBE-GGA) of crystalline CeHfNi2Ge2 at its relaxed geometry.

Properties
Its formation energy from the elements is -0.734 eV per atom. As for the uncorrected energy: -41.09 eV per cell.

a b c (Å): 4.179 4.179 7.004
angles (deg): 90.00 90.00 120.00
Atoms (fractional coordinates):
Ce (0.000, 0.000, 0.000)
Hf (0.000, 0.000, 0.500)
Ni (0.333, 0.667, 0.677)
Ni (0.667, 0.333, 0.323)
Ge (0.333, 0.667, 0.273)
Ge (0.667, 0.333, 0.727)


# 15
The following is a DFT calculation (PBE-GGA) of crystalline Ce2HfGe3Pt4 at its relaxed geometry.

Properties
Its formation energy from the elements is -0.927 eV per atom. As for the uncorrected energy: -69.11 eV per cell.

a b c (Å): 4.264 4.264 10.916
angles (deg): 90.00 90.00 90.00
Atoms (fractional coordinates):
Ce (0.000, 0.500, 0.232)
Ce (0.500, 0.000, 0.768)
Hf (0.000, 0.000, 0.500)
Ge (0.000, 0.500, 0.870)
Ge (0.500, 0.000, 0.130)
Ge (0.500, 0.500, 0.500)
Pt (0.000, 0.000, 0.000)
Pt (0.000, 0.500, 0.644)
Pt (0.500, 0.000, 0.356)
Pt (0.500, 0.500, 0.000)


# 16
The following is a DFT calculation (PBE-GGA) of crystalline Ce2HfGe4Pt3 at its relaxed geometry.

Properties
Its formation energy from the elements is -0.877 eV per atom. As for the uncorrected energy: -67.18 eV per cell.

a b c (Å): 4.290 4.290 10.862
angles (deg): 90.00 90.00 90.00
Atoms (fractional coordinates):
Ce (0.000, 0.500, 0.237)
Ce (0.500, 0.000, 0.763)
Hf (0.000, 0.000, 0.500)
Ge (0.000, 0.000, 0.000)
Ge (0.000, 0.500, 0.649)
Ge (0.500, 0.000, 0.351)
Ge (0.500, 0.500, 0.000)
Pt (0.000, 0.500, 0.878)
Pt (0.500, 0.000, 0.122)
Pt (0.500, 0.500, 0.500)


# 17
The following is a DFT calculation (PBE-GGA) of crystalline Ce2HfGe3Rh4 at its relaxed geometry.

Properties
Its formation energy from the elements is -0.876 eV per atom. As for the uncorrected energy: -73.84 eV per cell.

a b c (Å): 4.151 4.151 10.957
angles (deg): 90.00 90.00 90.00
Atoms (fractional coordinates):
Ce (0.000, 0.500, 0.236)
Ce (0.500, 0.000, 0.764)
Hf (0.000, 0.000, 0.500)
Ge (0.000, 0.500, 0.875)
Ge (0.500, 0.000, 0.125)
Ge (0.500, 0.500, 0.500)
Rh (0.000, 0.000, 0.000)
Rh (0.000, 0.500, 0.648)
Rh (0.500, 0.000, 0.352)
Rh (0.500, 0.500, 0.000)


# 18
The following is a DFT calculation (PBE-GGA) of crystalline Ce4Hg3Ge at its relaxed geometry.

Properties
Its formation energy from the elements is -0.403 eV per atom. As for the excess energy over the best structure of this formula in the dataset: 0 meV per atom. As for the uncorrected energy: -32.48 eV per cell.

a b c (Å): 3.854 3.854 14.449
angles (deg): 90.00 90.00 90.00
Atoms (fractional coordinates):
Ce (0.000, 0.000, 0.096)
Ce (0.000, 0.000, 0.368)
Ce (0.000, 0.000, 0.632)
Ce (0.000, 0.000, 0.904)
Hg (0.500, 0.500, 0.236)
Hg (0.500, 0.500, 0.500)
Hg (0.500, 0.500, 0.764)
Ge (0.500, 0.500, 0.000)


# 19
The following is a DFT calculation (PBE-GGA) of crystalline Ce6HgGe at its relaxed geometry.

Properties
Its formation energy from the elements is -0.022 eV per atom. As for the excess energy over the best structure of this formula in the dataset: 184 meV per atom. As for the uncorrected energy: -40.69 eV per cell.

a b c (Å): 6.545 6.545 6.243
angles (deg): 109.24 109.24 108.71
Atoms (fractional coordinates):
Ce (0.050, 0.565, 0.760)
Ce (0.234, 0.234, 0.766)
Ce (0.435, 0.950, 0.240)
Ce (0.565, 0.050, 0.760)
Ce (0.766, 0.766, 0.234)
Ce (0.950, 0.435, 0.240)
Hg (0.500, 0.500, 0.500)
Ge (0.000, 0.000, 0.000)


# 20
The following is a DFT calculation (PBE-GGA) of crystalline Ce2HgGe2 at its relaxed geometry.

Properties
Its formation energy from the elements is -0.602 eV per atom. As for the uncorrected energy: -48.83 eV per cell.

a b c (Å): 7.609 7.609 4.211
angles (deg): 90.00 90.00 90.00
Atoms (fractional coordinates):
Ce (0.181, 0.319, 0.000)
Ce (0.319, 0.819, 0.000)
Ce (0.681, 0.181, 0.000)
Ce (0.819, 0.681, 0.000)
Hg (0.000, 0.000, 0.500)
Hg (0.500, 0.500, 0.500)
Ge (0.117, 0.617, 0.500)
Ge (0.383, 0.117, 0.500)
Ge (0.617, 0.883, 0.500)
Ge (0.883, 0.383, 0.500)


# 21
The following is a DFT calculation (PBE-GGA) of crystalline Ce4HgGe5 at its relaxed geometry.

Properties
Its formation energy from the elements is -0.633 eV per atom. As for the uncorrected energy: -106.91 eV per cell.

a b c (Å): 10.988 11.171 3.991
angles (deg): 90.00 90.00 90.00
Atoms (fractional coordinates):
Ce (0.051, 0.250, 0.248)
Ce (0.250, 0.506, 0.747)
Ce (0.250, 0.994, 0.747)
Ce (0.449, 0.250, 0.248)
Ce (0.551, 0.750, 0.752)
Ce (0.750, 0.006, 0.253)
Ce (0.750, 0.494, 0.253)
Ce (0.949, 0.750, 0.752)
Hg (0.250, 0.750, 0.194)
Hg (0.750, 0.250, 0.806)
Ge (0.045, 0.556, 0.250)
Ge (0.045, 0.944, 0.250)
Ge (0.250, 0.250, 0.748)
Ge (0.455, 0.556, 0.250)
Ge (0.455, 0.944, 0.250)
Ge (0.545, 0.056, 0.750)
Ge (0.545, 0.444, 0.750)
Ge (0.750, 0.750, 0.252)
Ge (0.955, 0.056, 0.750)
Ge (0.955, 0.444, 0.750)


# 22
The following is a DFT calculation (PBE-GGA) of crystalline Ce2HgGe at its relaxed geometry.

Properties
Its formation energy from the elements is -0.452 eV per atom. As for the uncorrected energy: -18.60 eV per cell.

a b c (Å): 4.939 4.939 4.178
angles (deg): 90.00 90.00 90.00
Atoms (fractional coordinates):
Ce (0.000, 0.500, 0.000)
Ce (0.500, 0.000, 0.000)
Hg (0.000, 0.000, 0.500)
Ge (0.500, 0.500, 0.500)


# 23
The following is a DFT calculation (PBE-GGA) of crystalline Ce7Hg2Ge2 at its relaxed geometry.

Properties
Its formation energy from the elements is -0.201 eV per atom. As for the uncorrected energy: -53.59 eV per cell.

a b c (Å): 6.997 6.997 6.863
angles (deg): 90.00 90.00 106.64
Atoms (fractional coordinates):
Ce (0.000, 0.000, 0.000)
Ce (0.000, 0.500, 0.299)
Ce (0.000, 0.500, 0.701)
Ce (0.500, 0.000, 0.299)
Ce (0.500, 0.000, 0.701)
Ce (0.500, 0.500, 0.257)
Ce (0.500, 0.500, 0.743)
Hg (0.167, 0.167, 0.500)
Hg (0.833, 0.833, 0.500)
Ge (0.276, 0.724, 0.000)
Ge (0.724, 0.276, 0.000)